The following is a PBE-GGA calculation of crystalline Ca2HoIn at its relaxed geometry, from the Alexandria database.

Unit cell a=4.845 b=4.845 c=5.228 alpha=90.00 beta=90.00 gamma=90.00
Space group P4/mmm (No. 123)
Asymmetric unit:
Ca: 0.000 0.500 0.000 (multiplicity 2)
Ho: 0.000 0.000 0.500 (multiplicity 1)
In: 0.500 0.500 0.500 (multiplicity 1)

Summary:
Volume, Å³/atom: 30.7
Spin magnetization, Bohr magnetons per cell: 0.000
ΔE to the lowest computed polymorph, eV per formula unit: 0.00

The following is a PBE-GGA calculation of crystalline CaHo5In6 at its relaxed geometry, from the Alexandria database.

Unit cell a=5.333 b=7.457 c=16.011 alpha=90.00 beta=90.00 gamma=90.00
Space group Immm (No. 71)
Asymmetric unit:
Ca: 0.000 0.000 0.000 (multiplicity 2)
Ho: 0.000 0.000 0.332 (multiplicity 4)
Ho: 0.000 0.500 0.000 (multiplicity 2)
Ho: 0.000 0.500 0.337 (multiplicity 4)
In: 0.000 0.244 0.500 (multiplicity 4)
In: 0.000 0.253 0.168 (multiplicity 8)

Summary:
Volume, Å³/atom: 26.5
Spin magnetization, Bohr magnetons per cell: 0.000

The following is a PBE-GGA calculation of crystalline Ca2HoIn4 at its relaxed geometry, from the Alexandria database.

Unit cell a=5.312 b=5.312 c=14.753 alpha=90.00 beta=90.00 gamma=90.00
Space group I4/mmm (No. 139)
Asymmetric unit:
Ca: 0.000 0.000 0.248 (multiplicity 4)
Ho: 0.000 0.000 0.500 (multiplicity 2)
In: 0.000 0.500 0.109 (multiplicity 8)

Summary:
Volume, Å³/atom: 29.7
Spin magnetization, Bohr magnetons per cell: 0.000

The following is a PBE-GGA calculation of crystalline CaHoIn6 at its relaxed geometry, from the Alexandria database.

Unit cell a=4.671 b=4.671 c=9.367 alpha=90.00 beta=90.00 gamma=90.00
Space group P4/mmm (No. 123)
Asymmetric unit:
Ca: 0.000 0.000 0.000 (multiplicity 1)
Ho: 0.000 0.000 0.500 (multiplicity 1)
In: 0.000 0.500 0.253 (multiplicity 4)
In: 0.500 0.500 0.000 (multiplicity 1)
In: 0.500 0.500 0.500 (multiplicity 1)

Summary:
Volume, Å³/atom: 25.5
Spin magnetization, Bohr magnetons per cell: 0.000

The following is a PBE-GGA calculation of crystalline Ca2HoIn9 at its relaxed geometry, from the Alexandria database.

Unit cell a=4.686 b=4.686 c=14.096 alpha=90.00 beta=90.00 gamma=90.00
Space group P4/mmm (No. 123)
Asymmetric unit:
Ca: 0.000 0.000 0.168 (multiplicity 2)
Ho: 0.000 0.000 0.500 (multiplicity 1)
In: 0.000 0.500 0.000 (multiplicity 2)
In: 0.000 0.500 0.335 (multiplicity 4)
In: 0.500 0.500 0.167 (multiplicity 2)
In: 0.500 0.500 0.500 (multiplicity 1)

Summary:
Volume, Å³/atom: 25.8
Spin magnetization, Bohr magnetons per cell: 0.000

The following is a PBE-GGA calculation of crystalline Ca3HoIn4 at its relaxed geometry, from the Alexandria database.

Unit cell a=3.794 b=3.794 c=15.507 alpha=90.00 beta=90.00 gamma=90.00
Space group P4/mmm (No. 123)
Asymmetric unit:
Ca: 0.000 0.000 0.000 (multiplicity 1)
Ca: 0.000 0.000 0.253 (multiplicity 2)
Ho: 0.000 0.000 0.500 (multiplicity 1)
In: 0.500 0.500 0.128 (multiplicity 2)
In: 0.500 0.500 0.380 (multiplicity 2)

Summary:
Volume, Å³/atom: 27.9
Spin magnetization, Bohr magnetons per cell: 0.000

Calculated VASP energy (eV per cell), listed in the same order as above: -12.17 -93.48 -43.58 -25.92 -37.43 -25.23
Calculated energy of formation (meV/atom), listed in the same order as above: -212 -451 -322 -364 -350 -462